FeCo2Ir | PBE-GGA | relaxed

Unit cell a=3.503 b=3.503 c=8.526 alpha=78.14 beta=78.14 gamma=90.00
Sites, in units of the cell vectors:
Co1 0.605 0.125 0.250
Co2 0.145 0.625 0.250
Ir1 0.000 0.000 0.000
Ir2 0.750 0.250 0.500
Co3 0.875 0.855 0.750
Co4 0.375 0.395 0.750
Fe1 0.500 0.500 0.000
Fe2 0.250 0.750 0.500

## Properties
* space-group type: I-42d (122)
* E_form: 566.9 meV per atom
* energy above the lowest structure with this stoichiometry: 552.2 meV/atom
* final energy: -7.3170 eV/atom
* N(E_F): 7.3 states/eV/f.u.
* volume: 100 Å³/cell
* total moment: 0.00 μB/f.u.